--- 1 ---
Material: NpHgPb
Method: DFT, PBE
State: relaxed

Summary:
- crystal system = orthorhombic
- SG = Ama2 (40)
- density (g/cm³) = 13.4

Lattice parameters (Å, degrees): 3.579 8.507 8.507 38.16 90.00 90.00
Element x y z (fractional)
Np (0.250, 0.142, 0.858)
Np (0.750, 0.858, 0.142)
Hg (0.250, 0.892, 0.425)
Hg (0.750, 0.425, 0.892)
Pb (0.250, 0.578, 0.082)
Pb (0.750, 0.082, 0.578)

--- 2 ---
Material: NpHgPb
Method: DFT, PBE
State: relaxed

Summary:
- crystal system = tetragonal
- SG = I4mm (107)
- density (g/cm³) = 13.3

Lattice parameters (Å, degrees): 7.451 7.451 7.451 153.82 153.82 37.36
Element x y z (fractional)
Np (0.000, 0.000, 0.000)
Hg (0.342, 0.342, 0.000)
Pb (0.675, 0.675, 0.000)

Stability check: which of them is least stable? 1.

--- 1 ---
Material: NpHgPd2
Method: DFT, PBE
State: relaxed

Summary:
- crystal system = cubic
- SG = Fm-3m (225)
- density (g/cm³) = 13.6

Lattice parameters (Å, degrees): 4.830 4.830 4.830 60.00 60.00 60.00
Element x y z (fractional)
Np (0.000, 0.000, 0.000)
Hg (0.500, 0.500, 0.500)
Pd (0.250, 0.250, 0.250)
Pd (0.750, 0.750, 0.750)

--- 2 ---
Material: NpHgPd2
Method: DFT, PBE
State: relaxed

Summary:
- crystal system = tetragonal
- SG = P4/mmm (123)
- density (g/cm³) = 13.9

Lattice parameters (Å, degrees): 3.232 3.232 7.465 90.00 90.00 90.00
Element x y z (fractional)
Np (0.000, 0.000, 0.000)
Hg (0.000, 0.000, 0.500)
Pd (0.500, 0.500, 0.260)
Pd (0.500, 0.500, 0.740)

--- 3 ---
Material: NpHgPd2
Method: DFT, PBE
State: relaxed

Summary:
- crystal system = tetragonal
- SG = P4/mmm (123)
- density (g/cm³) = 13.7

Lattice parameters (Å, degrees): 5.065 5.065 3.062 90.00 90.00 90.00
Element x y z (fractional)
Np (0.000, 0.000, 0.000)
Hg (0.500, 0.500, 0.000)
Pd (0.000, 0.500, 0.500)
Pd (0.500, 0.000, 0.500)

Stability check: which of them is least stable? 3.

--- 1 ---
Material: Pu2NpHg
Method: DFT, PBE
State: relaxed

Summary:
- crystal system = trigonal
- SG = R-3m (166)
- density (g/cm³) = 14.6

Lattice parameters (Å, degrees): 9.084 9.084 9.084 23.56 23.56 23.56
Element x y z (fractional)
Pu (0.118, 0.118, 0.118)
Pu (0.882, 0.882, 0.882)
Np (0.500, 0.500, 0.500)
Hg (0.000, 0.000, 0.000)

--- 2 ---
Material: Pu2NpHg
Method: DFT, PBE
State: relaxed

Summary:
- crystal system = tetragonal
- SG = P4/mmm (123)
- density (g/cm³) = 16.2

Lattice parameters (Å, degrees): 3.210 3.210 9.183 90.00 90.00 90.00
Element x y z (fractional)
Pu (0.000, 0.000, 0.234)
Pu (0.000, 0.000, 0.766)
Np (0.500, 0.500, 0.000)
Hg (0.500, 0.500, 0.500)

Stability check: which of them is least stable? 1.

--- 1 ---
Material: NpHgRu2
Method: DFT, PBE
State: relaxed

Summary:
- crystal system = tetragonal
- SG = P4/mmm (123)
- density (g/cm³) = 15.0

Lattice parameters (Å, degrees): 4.408 4.408 3.653 90.00 90.00 90.00
Element x y z (fractional)
Np (0.000, 0.000, 0.000)
Hg (0.500, 0.500, 0.000)
Ru (0.000, 0.500, 0.500)
Ru (0.500, 0.000, 0.500)

--- 2 ---
Material: NpHgRu2
Method: DFT, PBE
State: relaxed

Summary:
- crystal system = cubic
- SG = Fm-3m (225)
- density (g/cm³) = 14.8

Lattice parameters (Å, degrees): 4.666 4.666 4.666 60.00 60.00 60.00
Element x y z (fractional)
Np (0.000, 0.000, 0.000)
Hg (0.500, 0.500, 0.500)
Ru (0.250, 0.250, 0.250)
Ru (0.750, 0.750, 0.750)

Stability check: which of them is least stable? 2.

--- 1 ---
Material: NpHgSe
Method: DFT, PBE
State: relaxed

Summary:
- crystal system = tetragonal
- SG = I4mm (107)
- density (g/cm³) = 11.2

Lattice parameters (Å, degrees): 6.541 6.541 6.541 148.37 148.37 45.33
Element x y z (fractional)
Np (0.000, 0.000, 0.000)
Hg (0.310, 0.310, 0.000)
Se (0.619, 0.619, 0.000)

--- 2 ---
Material: NpHgSe
Method: DFT, PBE
State: relaxed

Summary:
- crystal system = trigonal
- SG = P3m1 (156)
- density (g/cm³) = 10.1

Lattice parameters (Å, degrees): 3.889 3.889 6.475 90.00 90.00 120.00
Element x y z (fractional)
Np (0.000, 0.000, 0.000)
Hg (0.333, 0.667, 0.622)
Se (0.667, 0.333, 0.267)

Stability check: which of them is least stable? 2.

--- 1 ---
Material: NpSnHg
Method: DFT, PBE
State: relaxed

Summary:
- crystal system = orthorhombic
- SG = Cmcm (63)
- density (g/cm³) = 13.2

Lattice parameters (Å, degrees): 7.542 7.542 3.691 90.00 90.00 138.26
Element x y z (fractional)
Np (0.054, 0.946, 0.750)
Np (0.946, 0.054, 0.250)
Sn (0.246, 0.754, 0.250)
Sn (0.754, 0.246, 0.750)
Hg (0.415, 0.585, 0.750)
Hg (0.585, 0.415, 0.250)

--- 2 ---
Material: NpSnHg
Method: DFT, PBE
State: relaxed

Summary:
- crystal system = hexagonal
- SG = P-6m2 (187)
- density (g/cm³) = 12.6

Lattice parameters (Å, degrees): 5.279 5.279 3.029 90.00 90.00 120.00
Element x y z (fractional)
Np (0.000, 0.000, 0.000)
Sn (0.667, 0.333, 0.500)
Hg (0.333, 0.667, 0.500)

Stability check: which of them is least stable? 1.